This record from Alexandria via LeMat-Bulk describes crystalline Ba2Y2Mn4O11 at its relaxed geometry. The functional is PBE with a Hubbard U.

Cell lengths 3.8546, 8.1703, 8.7712 Å; angles 117.76, 90.00, 90.00 degrees
Each line ends with the local moment (μB).
Fractional positions:
Ba1 0.5000 0.5000 0.5000  0.00
Ba2 0.5000 0.0000 0.5000  0.00
Y1 0.5000 0.2254 0.0000  0.02
Y2 0.5000 0.7746 0.0000  0.02
Mn1 0.0000 0.3858 0.7717  3.88
Mn2 0.0000 0.6142 0.2283  3.88
Mn3 0.0000 0.1241 0.2482  3.87
Mn4 0.0000 0.8759 0.7518  3.87
O1 0.5000 0.4121 0.8242  -0.03
O2 0.5000 0.5879 0.1758  -0.03
O3 0.5000 0.1119 0.2238  -0.03
O4 0.5000 0.8881 0.7762  -0.03
O5 0.0000 0.2488 0.4976  0.02
O6 0.0000 0.7512 0.5024  0.02
O7 0.0000 0.3651 0.1988  0.01
O8 0.0000 0.6349 0.8012  0.01
O9 0.0000 0.8336 0.1988  0.01
O10 0.0000 0.1664 0.8012  0.01
O11 0.0000 0.0000 0.0000  -0.04

Values from the calculation:
As for the total energy: -0.2818 hartree per atom.